1.
# GGA-PBE LiB6P2, relaxed
data_LiB6P2
_cell_length_a 2.9631
_cell_length_b 3.0954
_cell_length_c 10.7443
_cell_angle_alpha 83.53
_cell_angle_beta 82.13
_cell_angle_gamma 89.99
_symmetry_space_group_name_H-M 'P -1'
_symmetry_Int_Tables_number 2
loop_
_symmetry_equiv_pos_as_xyz
'x,y,z'
'-x,-y,-z'
loop_
_atom_site_label
_atom_site_fract_x
_atom_site_fract_y
_atom_site_fract_z
_atom_site_occupancy
Li1 0.0000 0.0000 0.0000 1
B1 0.0924 0.6812 0.8139 1
B2 0.4162 0.9646 0.1689 1
B3 0.4578 0.4949 0.0848 1
P1 0.1522 0.2356 0.6931 1
# Electronic total energy = -5.783 eV per atom
# ΔH_f (0 K) = 0.084 eV/atom
# M_tot = 0.00 Bohr magnetons per cell

=====

2.
# GGA-PBE LiB3P, relaxed
data_LiB3P
_cell_length_a 3.7225
_cell_length_b 3.7225
_cell_length_c 3.7225
_cell_angle_alpha 90.00
_cell_angle_beta 90.00
_cell_angle_gamma 90.00
_symmetry_space_group_name_H-M 'P m -3 m'
_symmetry_Int_Tables_number 221
_symmetry_space_group_name_Hall '-P 4 2 3'
loop_
_atom_site_label
_atom_site_fract_x
_atom_site_fract_y
_atom_site_fract_z
_atom_site_occupancy
Li1 0.0000 0.0000 0.0000 1
B1 0.0000 0.0000 0.5000 1
P1 0.5000 0.5000 0.5000 1
# Polymorph energy (0 for the lowest one) = 840 meV per atom
# Electronic total energy = -3.334 eV per atom
# ΔH_f (0 K) = 2.137 eV/atom
# M_tot = 0.00 Bohr magnetons per cell

=====

3.
# GGA-PBE Li2BPPd6, relaxed
data_Li2BPPd6
_cell_length_a 5.5079
_cell_length_b 5.5933
_cell_length_c 5.6160
_cell_angle_alpha 71.34
_cell_angle_beta 67.32
_cell_angle_gamma 73.28
_symmetry_space_group_name_H-M 'P -1'
_symmetry_Int_Tables_number 2
loop_
_symmetry_equiv_pos_as_xyz
'x,y,z'
'-x,-y,-z'
loop_
_atom_site_label
_atom_site_fract_x
_atom_site_fract_y
_atom_site_fract_z
_atom_site_occupancy
Li1 0.2218 0.2912 0.3021 1
B1 0.0000 0.0000 0.0000 1
P1 0.5000 0.5000 0.5000 1
Pd1 0.1490 0.3352 0.8360 1
Pd2 0.2754 0.8623 0.6693 1
Pd3 0.3123 0.8156 0.1724 1
# Electronic total energy = -5.149 eV per atom
# ΔH_f (0 K) = -0.442 eV/atom
# M_tot = 0.00 Bohr magnetons per cell

=====

4.
# GGA-PBE Li3BP2Pt9, relaxed
data_Li3BP2Pt9
_cell_length_a 6.6983
_cell_length_b 6.6983
_cell_length_c 6.3657
_cell_angle_alpha 90.00
_cell_angle_beta 90.00
_cell_angle_gamma 120.00
_symmetry_space_group_name_H-M 'P -3 m 1'
_symmetry_Int_Tables_number 164
_symmetry_space_group_name_Hall '-P 3 2"'
loop_
_atom_site_label
_atom_site_fract_x
_atom_site_fract_y
_atom_site_fract_z
_atom_site_occupancy
Li1 0.0000 0.0000 0.0000 1
Li2 0.3333 0.6667 0.6709 1
B1 0.0000 0.0000 0.5000 1
P1 0.3333 0.6667 0.2268 1
Pt1 0.0000 0.5000 0.0000 1
Pt2 0.1433 0.2866 0.3001 1
# Electronic total energy = -5.558 eV per atom
# ΔH_f (0 K) = -0.384 eV/atom
# M_tot = 0.00 Bohr magnetons per cell